Entry 1:
Computed, not measured: a geometry-optimized Ti2CrS structure at the PBE level of DFT.

## Properties
Raw total energy = -7.460 eV/atom
Energy relative to the elements, uncorrected = -0.075 eV/atom

Cell lengths 7.0525, 7.0525, 5.1718 Å; angles 90.00, 90.00, 90.00 degrees
With the nearest neighbours (Å) after each atom.
Space group I-42d (No. 122)
Symmetry-distinct sites (fractional):
Ti 0.2023 0.2500 0.1250  2 S 2.36
Cr 0.0000 0.0000 0.5000  2 S 2.59, 4 Ti 2.82
S 0.0000 0.0000 0.0000  4 Ti 2.36, 2 Cr 2.59

Entry 2:
Computed, not measured: a geometry-optimized TiCr2S structure at the PBE level of DFT.

## Properties
Raw total energy = -7.749 eV/atom
Energy relative to the elements, uncorrected = 0.069 eV/atom

Cell lengths 7.0237, 7.0237, 4.6842 Å; angles 90.00, 90.00, 90.00 degrees
With the nearest neighbours (Å) after each atom.
Space group I-42d (No. 122)
Symmetry-distinct sites (fractional):
Ti 0.0000 0.0000 0.0000  2 S 2.34
Cr 0.1620 0.7500 0.6250  2 S 2.17
S 0.0000 0.0000 0.5000  4 Cr 2.17, 2 Ti 2.34

Entry 3:
Computed, not measured: a geometry-optimized Ti2CrS6 structure at the PBE level of DFT.

## Properties
Raw total energy = -6.606 eV/atom
Energy relative to the elements, uncorrected = -1.031 eV/atom

Cell lengths 16.4562, 3.3675, 7.6737 Å; angles 90.00, 114.56, 90.00 degrees
With the nearest neighbours (Å) after each atom.
Space group C2/m (No. 12)
Symmetry-distinct sites (fractional):
Ti 0.1626 0.0000 0.3270  6 S 2.38-2.46
Cr 0.0000 0.5000 0.0000  6 S 2.37
S 0.0047 0.0000 0.2218  2 Cr 2.37, 1 Ti 2.38
S 0.1568 0.5000 0.0971  1 Cr 2.37, 2 Ti 2.41
S 0.1741 0.5000 0.5642  3 Ti 2.43-2.46